## LiSb2 (GGA-PBE)

Data for a relaxed LiSb2 crystal.

Unit cell a=3.2581 b=3.2581 c=6.9239 alpha=90.00 beta=90.00 gamma=90.00
Sites, in units of the cell vectors:
1 Li 0.0000 0.0000 0.0000
2 Sb 0.5000 0.5000 0.2795
3 Sb 0.5000 0.5000 0.7205

Calculated values
ΔE to the lowest computed polymorph: 32 meV per atom
Energy: -3.596 eV/atom
Magnetization: 0.000 μB/atom